# 1
Density functional theory data (PBE) for InIr3 after structural relaxation.

* energy of formation from the pure elements: 0.117 eV per atom
* calculated volume: 63.7 Å³ per cell
* symmetry: Pmmm, No. 47
* D(E_F): 0.949 states/eV/atom

Cell and atoms, written as POSCAR:
```
InIr3
1.0
2.8348 0.0000 0.0000
0.0000 3.8745 0.0000
0.0000 0.0000 5.7967
In Ir
1 3
Direct
0.0000 0.0000 0.0000
0.0000 0.0000 0.5000
0.5000 0.5000 0.2693
0.5000 0.5000 0.7307
```

# 2
Density functional theory data (PBE) for PuAg3S3 after structural relaxation.

* VASP energy: -5.64 eV per atom
* calculated volume: 306.5 Å³ per cell
* symmetry: R-3, No. 148
* D(E_F): 1.446 states/eV/atom

Cell and atoms, written as POSCAR:
```
PuAg3S3
1.0
3.6351 2.0987 6.6962
-3.6351 2.0987 6.6962
0.0000 -4.1975 6.6962
Pu Ag S
2 6 6
Direct
0.1664 0.1664 0.1664
0.8336 0.8336 0.8336
0.0601 0.6977 0.3754
0.3023 0.6246 0.9399
0.3754 0.0601 0.6977
0.6246 0.9399 0.3023
0.6977 0.3754 0.0601
0.9399 0.3023 0.6246
0.0738 0.4272 0.7759
0.2241 0.9262 0.5728
0.4272 0.7759 0.0738
0.5728 0.2241 0.9262
0.7759 0.0738 0.4272
0.9262 0.5728 0.2241
```

# 3
Density functional theory data (PBE) for Li2ZnIrN after structural relaxation.

* calculated volume: 64.7 Å³ per cell
* symmetry: P4/mmm, No. 123
* D(E_F): 0.366 states/eV/atom
* distance to the lowest polymorph of the same formula: 0.000 eV/atom

Cell and atoms, written as POSCAR:
```
Li2ZnIrN
1.0
4.1432 0.0000 0.0000
0.0000 4.1432 0.0000
0.0000 0.0000 3.7669
Li Zn Ir N
2 1 1 1
Direct
0.0000 0.5000 0.0000
0.5000 0.0000 0.0000
0.0000 0.0000 0.5000
0.5000 0.5000 0.5000
0.5000 0.5000 0.0000
```